The following is a GGA+U calculation of a geometry-optimized MnSN2F structure, from the Alexandria database.

E, eV/cell: -24.85
Polymorph energy (0 for the lowest one), meV per atom: 379
Density of states at the Fermi level, states/eV/f.u.: 2.46
Magnetization, Bohr magnetons per cell: 1.25
SG: P4/mmm, No. 123

a = 3.7136 Å, b = 3.7136 Å, c = 5.0201 Å
α = 90.00°, β = 90.00°, γ = 90.00°
Closest atoms and distances in Å follow each position.
Sites, in units of the cell vectors:
Mn: 0.0000 0.0000 0.0000  4 N 1.86
S: 0.0000 0.0000 0.5000  2 Mn 2.51, 4 F 2.63
N: 0.5000 0.0000 0.0000  2 Mn 1.86
N: 0.0000 0.5000 0.0000  2 Mn 1.86
F: 0.5000 0.5000 0.5000  4 S 2.63